No. 1
Ce3Co2Ge2: optimized geometry, PBE-GGA.

extended XYZ file:
```
28
Lattice="5.5408 0.0000 0.0000 0.0000 7.9986 0.0000 0.0000 0.0000 12.4726" Properties=species:S:1:pos:R:3 pbc="T T T"
Ce 0.9288 4.7873 1.1427
Ce 4.6120 3.2113 7.3789
Ce 4.6120 0.7880 5.0936
Ce 0.9288 7.2106 11.3299
Ce 4.6120 3.2113 11.3299
Ce 0.9288 4.7873 5.0936
Ce 0.9288 7.2106 7.3789
Ce 4.6120 0.7880 1.1427
Ce 1.9876 1.9290 3.1181
Ce 3.5532 6.0696 9.3544
Ce 3.5532 5.9283 3.1181
Ce 1.9876 2.0703 9.3544
Co 3.4461 3.6643 1.0839
Co 2.0947 4.3344 7.3202
Co 2.0947 7.6636 5.1524
Co 3.4461 0.3350 11.3886
Co 2.0947 4.3344 11.3886
Co 3.4461 3.6643 5.1524
Co 3.4461 0.3350 7.3202
Co 2.0947 7.6636 1.0839
Ge 1.8724 1.9997 0.0000
Ge 3.6684 5.9990 6.2363
Ge 3.6684 5.9990 0.0000
Ge 1.8724 1.9997 6.2363
Ge 4.7414 3.1472 3.1181
Ge 0.7994 4.8514 9.3544
Ge 0.7994 7.1465 3.1181
Ge 4.7414 0.8521 9.3544
```

No. 2
CeCoGe4: optimized geometry, PBE-GGA.

extended XYZ file:
```
12
Lattice="-2.8109 -1.0856 5.3529 5.9541 -1.1234 2.8982 1.0834 5.9858 -1.7418" Properties=species:S:1:pos:R:3 pbc="T T T"
Ce 1.9522 -1.8136 6.9619
Ce 2.2743 5.5904 -0.4526
Co -0.8638 2.4501 1.8056
Co 3.5187 2.4312 0.5782
Ge -0.0952 4.5633 1.7218
Ge 0.6694 -0.4871 4.6257
Ge 4.3218 -0.7865 4.7875
Ge 3.5572 4.2639 1.8836
Ge 3.1913 1.1917 6.2458
Ge 3.3712 1.7762 2.9340
Ge 1.0353 2.5851 0.2635
Ge 0.8553 2.0006 3.5753
```

No. 3
Ce2Co12Ge7: optimized geometry, PBE-GGA.

extended XYZ file:
```
21
Lattice="-0.3086 0.0150 3.7690 3.0707 -8.8551 0.2866 6.1087 7.0982 0.4719" Properties=species:S:1:pos:R:3 pbc="T T T"
Ce -0.1543 0.0075 1.8845
Ce 4.0834 -3.5373 0.3484
Co 6.3453 -3.6722 2.4313
Co 2.5974 -5.5581 2.1319
Co 2.8446 -1.3591 2.1355
Co 5.2805 3.4600 2.3158
Co 6.2155 0.6580 2.4035
Co 3.3292 1.2458 2.1648
Co 3.4228 3.3170 0.2671
Co 7.2594 2.4665 0.5845
Co 4.6059 -0.4421 0.3789
Co 6.8182 -1.7338 0.5651
Co 4.2719 -6.8149 0.3768
Co 1.1601 -2.0632 0.1032
Ge 5.0960 1.7805 0.4102
Ge 4.9212 5.0638 0.3828
Ge 8.0175 0.2916 0.6553
Ge 2.3494 -0.0141 0.1924
Ge 5.2547 -1.5612 2.3336
Ge 4.9651 -5.6654 2.3262
Ge 1.5674 -3.3628 2.0389
```

No. 4
CeCo5Ge2: optimized geometry, PBE-GGA.

extended XYZ file:
```
8
Lattice="3.6762 0.0000 0.0000 1.8381 5.6903 0.4684 1.8381 1.5059 5.5074" Properties=species:S:1:pos:R:3 pbc="T T T"
Ce 0.0000 0.0000 0.0000
Co 1.8381 3.5981 2.9879
Co 3.6762 3.4203 1.2434
Co 3.6762 3.7759 4.7324
Co 3.6762 5.3456 2.8421
Co 3.6762 1.8506 3.1337
Ge 5.5143 5.3627 4.4533
Ge 1.8381 1.8335 1.5225
```

Number 1: total DFT energy (no corrections) -6.48 eV per atom, energy of formation from the pure elements -0.592 eV/atom, size of the total moment 1.30 μB/f.u.. Number 2: total DFT energy (no corrections) -5.60 eV per atom, energy of formation from the pure elements -0.350 eV/atom, size of the total moment 0.31 μB/f.u.. Number 3: total DFT energy (no corrections) -6.49 eV per atom, energy of formation from the pure elements -0.329 eV/atom, size of the total moment 4.38 μB/f.u.. Number 4: total DFT energy (no corrections) -6.57 eV per atom, energy of formation from the pure elements -0.232 eV/atom, size of the total moment 2.33 μB/f.u..